Version P
First-principles (PBE) data for crystalline DyCdHg2 at its relaxed geometry, as listed in the Alexandria database.

Cell: 4.7389 4.7389 4.3096 Å, 90.00 90.00 90.00°
With the nearest neighbours (Å) after each atom.
Space group P4/mmm (No. 123)
Inequivalent atoms, fractional coordinates:
Dy: 0.0000 0.0000 0.0000 x1  8 Hg 3.20, 4 Cd 3.35
Cd: 0.5000 0.5000 0.0000 x1  8 Hg 3.20, 4 Dy 3.35
Hg: 0.0000 0.5000 0.5000 x2  4 Cd 3.20, 4 Dy 3.20, 4 Hg 3.35

Results
Crystal system = tetragonal

***

Version Q
First-principles (PBE) data for crystalline DyCdHg2 at its relaxed geometry, as listed in the Alexandria database.

Cell: 3.7742 3.7742 25.7603 Å, 90.00 90.00 120.00°
With the nearest neighbours (Å) after each atom.
Space group R3m (No. 160, hexagonal axes)
Inequivalent atoms, fractional coordinates:
Dy: 0.0000 0.0000 0.0000 x3  6 Hg 3.09
Cd: 0.0000 0.0000 0.1669 x3  6 Hg 3.02-3.03
Hg: 0.0000 0.0000 0.4185 x3  3 Cd 3.03, 3 Dy 3.09
Hg: 0.0000 0.0000 0.5814 x3  3 Cd 3.02, 3 Dy 3.09

Results
Crystal system = trigonal

***

Version R
First-principles (PBE) data for crystalline DyCdHg2 at its relaxed geometry, as listed in the Alexandria database.

Cell: 3.6742 3.6742 7.1735 Å, 90.00 90.00 90.00°
With the nearest neighbours (Å) after each atom.
Space group P4/mmm (No. 123)
Inequivalent atoms, fractional coordinates:
Dy: 0.0000 0.0000 0.0000 x1  8 Hg 3.18
Cd: 0.0000 0.0000 0.5000 x1  8 Hg 3.14
Hg: 0.5000 0.5000 0.2550 x2  4 Cd 3.14, 4 Dy 3.18

Results
Crystal system = tetragonal

***

If we sort the structures by their calculated energies, the order from most to least stable is version P, version R, version Q.

***

Version P
First-principles (PBE) data for crystalline DyCdHg2 at its relaxed geometry, as listed in the Alexandria database.

Cell: 7.2117 7.2117 7.2117 Å, 90.00 90.00 90.00°
With the nearest neighbours (Å) after each atom.
Space group Fm-3m (No. 225)
Inequivalent atoms, fractional coordinates:
Dy: 0.0000 0.0000 0.0000 x4  8 Hg 3.12
Cd: 0.0000 0.0000 0.5000 x4  8 Hg 3.12
Hg: 0.2500 0.2500 0.2500 x8  4 Cd 3.12, 4 Dy 3.12

Results
Crystal system = cubic

***

Version Q
First-principles (PBE) data for crystalline DyCdHg2 at its relaxed geometry, as listed in the Alexandria database.

Cell: 4.0890 4.0890 22.2679 Å, 90.00 90.00 120.00°
With the nearest neighbours (Å) after each atom.
Space group R-3m (No. 166, hexagonal axes)
Inequivalent atoms, fractional coordinates:
Dy: 0.0000 0.0000 0.0000 x3  6 Hg 3.07
Cd: 0.0000 0.0000 0.5000 x3  6 Hg 2.94
Hg: 0.0000 0.0000 0.2454 x6  3 Cd 2.94, 3 Dy 3.07

Results
Crystal system = trigonal

***

If we sort the structures by their calculated energies, the order from most to least stable is version P, version Q.

***

Version P
First-principles (PBE) data for crystalline DyCd3Hg2 at its relaxed geometry, as listed in the Alexandria database.

Cell: 6.6018 15.5730 5.7552 Å, 90.00 90.00 90.00°
With the nearest neighbours (Å) after each atom.
Space group Cmcm (No. 63)
Inequivalent atoms, fractional coordinates:
Dy: 0.0000 0.1475 0.2500 x4  4 Hg 3.18, 8 Cd 3.20-3.36
Cd: 0.0000 0.3403 0.7500 x4  6 Cd 3.08-3.31, 2 Dy 3.31, 4 Hg 3.31
Cd: 0.2437 0.3253 0.2500 x8  2 Hg 3.08, 5 Cd 3.08-3.38, 3 Dy 3.20-3.36
Hg: 0.2481 0.5000 0.0000 x8  2 Hg 2.88, 2 Cd 3.08, 2 Dy 3.18

Results
Crystal system = orthorhombic

***

Version Q
First-principles (PBE) data for crystalline DyCd3Hg2 at its relaxed geometry, as listed in the Alexandria database.

Cell: 17.3397 4.6196 7.6321 Å, 90.00 111.41 90.00°
With the nearest neighbours (Å) after each atom.
Space group C2/m (No. 12)
Inequivalent atoms, fractional coordinates:
Dy: 0.1158 0.0000 0.1807 x4  7 Hg 3.24-3.53, 6 Cd 3.34-3.62
Cd: 0.0736 0.0000 0.6914 x4  3 Hg 2.86-3.04, 3 Cd 3.02-3.10
Cd: 0.1260 0.5000 0.5053 x4  4 Hg 2.85-3.02, 3 Cd 2.98-3.02
Cd: 0.1969 0.5000 0.9252 x4  5 Cd 2.91-3.21, 2 Hg 2.93-2.94
Hg: 0.0174 0.5000 0.8322 x4  1 Hg 2.84, 4 Cd 2.85-2.93
Hg: 0.2438 0.0000 0.6620 x4  5 Cd 2.94-3.04, 2 Dy 3.25

Results
Crystal system = monoclinic

***

If we sort the structures by their calculated energies, the order from most to least stable is version Q, version P.

***

Version P
First-principles (PBE) data for crystalline Dy3CdHg4 at its relaxed geometry, as listed in the Alexandria database.

Cell: 3.5669 6.9300 17.3453 Å, 90.00 90.00 90.00°
With the nearest neighbours (Å) after each atom.
Space group Immm (No. 71)
Inequivalent atoms, fractional coordinates:
Dy: 0.0000 0.0000 0.0000 x2  8 Hg 3.21, 2 Dy 3.57
Dy: 0.0000 0.5000 0.2218 x4  6 Hg 3.06-3.11
Cd: 0.0000 0.0000 0.5000 x2  4 Hg 2.91
Hg: 0.0000 0.2776 0.3745 x8  1 Cd 2.91, 5 Dy 3.06-3.21, 1 Hg 3.08

Results
Crystal system = orthorhombic

***

Version Q
First-principles (PBE) data for crystalline Dy3CdHg4 at its relaxed geometry, as listed in the Alexandria database.

Cell: 5.1467 5.1467 25.9327 Å, 90.00 90.00 120.00°
With the nearest neighbours (Å) after each atom.
Space group R-3m (No. 166, hexagonal axes)
Inequivalent atoms, fractional coordinates:
Dy: 0.0000 0.0000 0.0000 x3  8 Hg 3.11-3.17
Dy: 0.0000 0.0000 0.2427 x6  8 Hg 3.08-3.29
Cd: 0.0000 0.0000 0.5000 x3  8 Hg 3.19-3.39, 6 Dy 3.57
Hg: 0.0000 0.0000 0.1222 x6  5 Dy 3.08-3.17, 3 Cd 3.19
Hg: 0.0000 0.0000 0.3691 x6  7 Dy 3.11-3.29, 1 Cd 3.39

Results
Crystal system = trigonal

***

If we sort the structures by their calculated energies, the order from most to least stable is version Q, version P.

***

Version P
First-principles (PBE) data for crystalline Dy2CdHg8 at its relaxed geometry, as listed in the Alexandria database.

Cell: 17.4068 4.7963 6.8592 Å, 90.00 108.31 90.00°
With the nearest neighbours (Å) after each atom.
Space group C2/m (No. 12)
Inequivalent atoms, fractional coordinates:
Dy: 0.2115 0.0000 0.1812 x4  10 Hg 3.13-3.40
Cd: 0.0000 0.5000 0.5000 x2  8 Hg 2.92-3.16
Hg: 0.0256 0.0000 0.2272 x4  5 Hg 2.96-3.29, 2 Cd 3.16
Hg: 0.1097 0.5000 0.9210 x4  1 Cd 2.92, 3 Hg 3.06-3.17, 2 Dy 3.18
Hg: 0.1512 0.5000 0.3883 x4  1 Cd 2.96, 5 Hg 3.06-3.20, 3 Dy 3.13-3.16
Hg: 0.1649 0.0000 0.6924 x4  6 Hg 3.14-3.42, 3 Dy 3.16-3.19

Results
Crystal system = monoclinic

***

Version Q
First-principles (PBE) data for crystalline Dy2CdHg8 at its relaxed geometry, as listed in the Alexandria database.

Cell: 4.6193 4.6193 12.9321 Å, 90.00 90.00 90.00°
With the nearest neighbours (Å) after each atom.
Space group P4/mmm (No. 123)
Inequivalent atoms, fractional coordinates:
Dy: 0.0000 0.0000 0.1839 x2  12 Hg 3.20-3.32
Cd: 0.0000 0.0000 0.5000 x1  8 Hg 2.97
Hg: 0.0000 0.5000 0.0000 x2  8 Hg 3.25-3.27, 4 Dy 3.32
Hg: 0.0000 0.5000 0.3554 x4  2 Cd 2.97, 2 Dy 3.20, 6 Hg 3.27
Hg: 0.5000 0.5000 0.1764 x2  8 Hg 3.25-3.27, 4 Dy 3.27

Results
Crystal system = tetragonal

***

If we sort the structures by their calculated energies, the order from most to least stable is version Q, version P.

***

Version P
First-principles (PBE) data for crystalline DyCd3Hg3 at its relaxed geometry, as listed in the Alexandria database.

Cell: 7.7633 7.7633 7.7633 Å, 90.00 90.00 90.00°
With the nearest neighbours (Å) after each atom.
Space group Pm-3n (No. 223)
Inequivalent atoms, fractional coordinates:
Dy: 0.0000 0.0000 0.0000 x2  12 Hg 4.34, 12 Cd 4.34
Cd: 0.0000 0.2500 0.5000 x6  4 Hg 2.74
Hg: 0.0000 0.5000 0.2500 x6  4 Cd 2.74

Results
Crystal system = cubic

***

Version Q
First-principles (PBE) data for crystalline DyCd3Hg3 at its relaxed geometry, as listed in the Alexandria database.

Cell: 6.4783 6.4783 29.5798 Å, 90.00 90.00 120.00°
With the nearest neighbours (Å) after each atom.
Space group R-3m (No. 166, hexagonal axes)
Inequivalent atoms, fractional coordinates:
Dy: 0.0000 0.0000 0.2008 x6  9 Hg 3.17-3.28, 3 Cd 3.32
Cd: 0.0185 0.5092 0.3709 x18  4 Cd 2.97-3.06, 2 Hg 3.04, 1 Dy 3.32
Hg: 0.0133 0.5067 0.2171 x18  2 Cd 3.04, 4 Hg 3.11-3.37, 3 Dy 3.17-3.28

Results
Crystal system = trigonal

***

If we sort the structures by their calculated energies, the order from most to least stable is version Q, version P.